1.
A relaxed LiGaCoAs2 crystal, computed with GGA-PBEsol.

Results
- ΔE_f (meV/atom) = 936

Cell: 4.781 4.781 4.388 Å, 90.00 90.00 90.00°
Space group P4/mmm (No. 123)
One atom of each set of equivalent atoms:
1 Li 0.000 0.000 0.000
2 Ga 0.000 0.000 0.500
3 Co 0.500 0.500 0.000
4 As 0.000 0.500 0.500

2.
A relaxed RbCrGePb2 crystal, computed with GGA-PBEsol.

Results
- ΔE_f (meV/atom) = 1815

Cell: 5.923 5.923 5.198 Å, 90.00 90.00 90.00°
Space group P4/mmm (No. 123)
One atom of each set of equivalent atoms:
1 Rb 0.000 0.000 0.000
2 Cr 0.000 0.000 0.500
3 Ge 0.500 0.500 0.500
4 Pb 0.000 0.500 0.000

3.
A relaxed Sr3Re crystal, computed with GGA-PBEsol.

Results
- ΔE_f (meV/atom) = 1038

Cell: 3.6834 3.6834 11.7094 Å, 90.00 90.00 120.00°
Space group P-6m2 (No. 187)
One atom of each set of equivalent atoms:
1 Sr 0.0000 0.0000 0.0000
2 Sr 0.3333 0.6667 0.3130
3 Re 0.0000 0.0000 0.5000

4.
A relaxed Ba3YMo crystal, computed with GGA-PBEsol.

Results
- ΔE_f (meV/atom) = 1614

Cell: 6.221 6.221 6.221 Å, 90.00 90.00 90.00°
Space group Pm-3m (No. 221)
One atom of each set of equivalent atoms:
1 Ba 0.000 0.000 0.500
2 Y 0.000 0.000 0.000
3 Mo 0.500 0.500 0.500

5.
A relaxed CdH8C2S2Br2N4 crystal, computed with GGA-PBEsol.

Results
- final energy (hartree per atom) = -0.195

Cell: 12.894 13.414 5.959 Å, 90.00 90.00 90.00°
Space group Pnma (No. 62)
One atom of each set of equivalent atoms:
1 Cd 0.154 0.250 0.229
2 H 0.102 0.622 0.396
3 H 0.119 0.658 0.113
4 H 0.131 0.086 0.896
5 H 0.140 0.543 0.841
6 C 0.118 0.507 0.171
7 S 0.104 0.082 0.377
8 Br 0.124 0.250 0.789
9 Br 0.137 0.750 0.752
10 N 0.115 0.603 0.233
11 N 0.133 0.014 0.955

6.
A relaxed CoPt5 crystal, computed with GGA-PBEsol.

Results
- ΔE_f (meV/atom) = 29

Cell: 4.534 2.715 14.093 Å, 90.00 90.00 90.00°
Space group Amm2 (No. 38)
One atom of each set of equivalent atoms:
1 Co 0.000 0.000 0.000
2 Pt 0.000 0.000 0.340
3 Pt 0.000 0.000 0.660
4 Pt 0.500 0.000 0.223
5 Pt 0.500 0.000 0.554
6 Pt 0.500 0.000 0.891

no.,size of the total moment (μB per cell)
1,1.96
2,4.90
3,0.78
4,4.04
5,0.00
6,7.35